HfNiP2O: optimized geometry, PBE with a Hubbard U.

```
data_HfNiP2O
_space_group_name_H-M_alt 'P 1'
_space_group_IT_number 1
_space_group_name_Hall 'P 1'
_cell_length_a 4.482
_cell_length_b 4.482
_cell_length_c 3.595
_cell_angle_alpha 90.00
_cell_angle_beta 90.00
_cell_angle_gamma 90.00
loop_
_atom_site_label
_atom_site_fract_x
_atom_site_fract_y
_atom_site_fract_z
Hf1 0.000 0.000 0.000
Ni1 0.500 0.500 0.500
P1 0.000 0.500 0.500
P2 0.500 0.000 0.500
O1 0.500 0.500 0.000
```

Computed properties:
**Fermi-level density of states**: 0.424 states/eV per atom
**SG**: P4/mmm, No. 123
**E_tot**: -0.2107 hartree per atom